1.
Entry from Alexandria via LeMat-Bulk: an optimized crystal structure of CaRu2Cl (PBE-GGA).

The structure in CIF format:
```
data_CaRu2Cl
_chemical_formula_sum 'Ca2 Ru4 Cl2'
_symmetry_space_group_name_H-M 'C 1 m 1'
_symmetry_Int_Tables_number 8
_cell_length_a 6.814
_cell_length_b 3.951
_cell_length_c 6.805
_cell_angle_alpha 90.00
_cell_angle_beta 90.39
_cell_angle_gamma 90.00
loop_
_symmetry_equiv_pos_as_xyz
'x,y,z'
'x,-y,z'
'x+1/2,y+1/2,z'
'x+1/2,-y+1/2,z'
loop_
_atom_site_label
_atom_site_type_symbol
_atom_site_fract_x
_atom_site_fract_y
_atom_site_fract_z
_atom_site_occupancy
Ca1 Ca 0.000 0.000 0.000 1
Ru1 Ru 0.168 0.500 0.292 1
Ru2 Ru 0.334 0.000 0.388 1
Cl1 Cl 0.333 0.000 0.746 1
```

Summary:
**Uncorrected energy**: -5.862 eV/atom
**Density of states at the Fermi level**: 2.64 states/eV per cell

***

2.
Entry from Alexandria via LeMat-Bulk: an optimized crystal structure of CaRu2Cl (PBE-GGA).

The structure in CIF format:
```
data_CaRu2Cl
_chemical_formula_sum 'Ca2 Ru4 Cl2'
_symmetry_space_group_name_H-M 'C m m m'
_symmetry_Int_Tables_number 65
_symmetry_space_group_name_Hall '-C 2 2'
_cell_length_a 4.966
_cell_length_b 10.402
_cell_length_c 2.929
_cell_angle_alpha 90.00
_cell_angle_beta 90.00
_cell_angle_gamma 90.00
loop_
_atom_site_label
_atom_site_type_symbol
_atom_site_fract_x
_atom_site_fract_y
_atom_site_fract_z
_atom_site_occupancy
Ca1 Ca 0.000 0.000 0.000 1
Ru1 Ru 0.250 0.250 0.500 1
Cl1 Cl 0.000 0.500 0.000 1
```

Summary:
**Uncorrected energy**: -5.073 eV/atom
**Density of states at the Fermi level**: 9.70 states/eV per cell

***

3.
Entry from Alexandria via LeMat-Bulk: an optimized crystal structure of CaRu3Cl (PBE-GGA).

The structure in CIF format:
```
data_CaRu3Cl
_chemical_formula_sum 'Ca1 Ru3 Cl1'
_symmetry_space_group_name_H-M 'P m -3 m'
_symmetry_Int_Tables_number 221
_symmetry_space_group_name_Hall '-P 4 2 3'
_cell_length_a 4.443
_cell_length_b 4.443
_cell_length_c 4.443
_cell_angle_alpha 90.00
_cell_angle_beta 90.00
_cell_angle_gamma 90.00
loop_
_atom_site_label
_atom_site_type_symbol
_atom_site_fract_x
_atom_site_fract_y
_atom_site_fract_z
_atom_site_occupancy
Ca1 Ca 0.000 0.000 0.000 1
Ru1 Ru 0.000 0.500 0.500 1
Cl1 Cl 0.500 0.500 0.500 1
```

Summary:
**Uncorrected energy**: -5.627 eV/atom
**Density of states at the Fermi level**: 5.40 states/eV per cell

***

Calculated formation energy (no corrections) (eV/f.u.), listed in the same order as above: -1.05; 2.11; 3.54